Computed, not measured: LiFe5O8 after structural relaxation at the GGA+U level of DFT.

Unit cell a=5.8436 b=5.8436 c=5.8436 alpha=60.15 beta=60.15 gamma=60.15
Last column: nearest neighbours and their distance in Å.
Atoms (fractional coordinates):
Li  0.0000  0.0000  0.0000  6 O 2.06
Fe  0.6177  0.6177  0.6177  4 O 1.90-1.98
Fe  0.3823  0.3823  0.3823  4 O 1.90-1.98
Fe  0.0000  0.5000  0.0000  6 O 1.96-2.02
Fe  0.0000  0.0000  0.5000  6 O 1.96-2.02
Fe  0.5000  0.0000  0.0000  6 O 1.96-2.02
O  0.7795  0.2479  0.2479  3 Fe 1.90-1.96, 1 Li 2.06
O  0.2479  0.7795  0.2479  3 Fe 1.90-1.96, 1 Li 2.06
O  0.2479  0.2479  0.7795  3 Fe 1.90-1.96, 1 Li 2.06
O  0.2439  0.2439  0.2439  4 Fe 1.98-2.02
O  0.7561  0.7561  0.7561  4 Fe 1.98-2.02
O  0.7521  0.2205  0.7521  3 Fe 1.90-1.96, 1 Li 2.06
O  0.7521  0.7521  0.2205  3 Fe 1.90-1.96, 1 Li 2.06
O  0.2205  0.7521  0.7521  3 Fe 1.90-1.96, 1 Li 2.06

## Properties
VASP energy (eV/f.u.): -86.66
Crystal system: trigonal